DFT (PBE) results for crystalline Ac3AlNi3 at its relaxed geometry.

Unit cell a=6.0313 b=6.0313 c=14.2870 alpha=90.00 beta=90.00 gamma=140.00
Sites, in units of the cell vectors:
1 Ac 0.0003 0.9997 0.2500
2 Ac 0.9997 0.0003 0.7500
3 Ac 0.2759 0.7241 0.6064
4 Ac 0.2759 0.7241 0.8936
5 Ac 0.7241 0.2759 0.1064
6 Ac 0.7241 0.2759 0.3936
7 Al 0.0000 0.0000 0.0000
8 Al 0.0000 0.0000 0.5000
9 Ni 0.3117 0.6883 0.2500
10 Ni 0.4356 0.5644 0.0825
11 Ni 0.4356 0.5644 0.4175
12 Ni 0.5644 0.4356 0.5825
13 Ni 0.5644 0.4356 0.9175
14 Ni 0.6883 0.3117 0.7500

Output
Magnetic moment   0.000 μB per cell
Raw total energy   -71.36 eV/cell
Symmetry   Cmcm (63)
DFT formation energy   -2.27 eV/f.u.
Volume   23.86 Å³/atom
Density   8.8 g/cm3



DFT (PBE) results for crystalline Ac3Al2Ni6 at its relaxed geometry.

Unit cell a=8.1370 b=8.1370 c=8.1370 alpha=109.47 beta=109.47 gamma=109.47
Sites, in units of the cell vectors:
1 Ac 0.0000 0.2938 0.2938
2 Ac 0.0000 0.7062 0.7062
3 Ac 0.2938 0.0000 0.2938
4 Ac 0.2938 0.2938 0.0000
5 Ac 0.7062 0.0000 0.7062
6 Ac 0.7062 0.7062 0.0000
7 Al 0.0000 0.0000 0.5000
8 Al 0.0000 0.5000 0.0000
9 Al 0.5000 0.0000 0.0000
10 Al 0.5000 0.5000 0.5000
11 Ni 0.0000 0.3291 0.6709
12 Ni 0.0000 0.6709 0.3291
13 Ni 0.3291 0.0000 0.6709
14 Ni 0.3291 0.3291 0.6582
15 Ni 0.3291 0.6582 0.3291
16 Ni 0.3291 0.6709 0.0000
17 Ni 0.3418 0.6709 0.6709
18 Ni 0.6582 0.3291 0.3291
19 Ni 0.6709 0.0000 0.3291
20 Ni 0.6709 0.3291 0.0000
21 Ni 0.6709 0.3418 0.6709
22 Ni 0.6709 0.6709 0.3418

Output
Magnetic moment   0.001 μB per cell
Raw total energy   -115.90 eV/cell
Symmetry   Im-3m (229)
DFT formation energy   -3.45 eV/f.u.
Volume   18.85 Å³/atom
Density   8.7 g/cm3



DFT (PBE) results for crystalline Ac2AlNi at its relaxed geometry.

Unit cell a=10.5976 b=10.5976 c=10.5976 alpha=20.31 beta=20.31 gamma=20.31
Sites, in units of the cell vectors:
1 Ac 0.0859 0.0859 0.0859
2 Ac 0.9141 0.9141 0.9141
3 Al 0.5000 0.5000 0.5000
4 Ni 0.0000 0.0000 0.0000

Output
Magnetic moment   0.000 μB per cell
Raw total energy   -15.83 eV/cell
Symmetry   R-3m (166)
DFT formation energy   1.91 eV/f.u.
Volume   31.38 Å³/atom
Density   7.1 g/cm3



DFT (PBE) results for crystalline Ac4Al3Ni2 at its relaxed geometry.

Unit cell a=8.5769 b=8.5769 c=7.6243 alpha=107.84 beta=107.84 gamma=27.25
Sites, in units of the cell vectors:
1 Ac 0.0744 0.0744 0.3742
2 Ac 0.2634 0.2634 0.8011
3 Ac 0.7366 0.7366 0.1989
4 Ac 0.9256 0.9256 0.6258
5 Al 0.4012 0.4012 0.2239
6 Al 0.5000 0.5000 0.0000
7 Al 0.5988 0.5988 0.7761
8 Ni 0.0821 0.0821 0.9622
9 Ni 0.9179 0.9179 0.0378

Output
Magnetic moment   0.000 μB per cell
Raw total energy   -42.01 eV/cell
Symmetry   C2/m (12)
DFT formation energy   -2.79 eV/f.u.
Volume   27.07 Å³/atom
Density   7.5 g/cm3



DFT (PBE) results for crystalline AcAl5Ni3 at its relaxed geometry.

Unit cell a=6.5347 b=6.5347 c=12.3785 alpha=90.00 beta=90.00 gamma=144.21
Sites, in units of the cell vectors:
1 Ac 0.1670 0.8330 0.7500
2 Ac 0.8330 0.1670 0.2500
3 Al 0.0000 0.0000 0.0000
4 Al 0.0000 0.0000 0.5000
5 Al 0.2019 0.7981 0.0617
6 Al 0.2019 0.7981 0.4383
7 Al 0.4430 0.5570 0.6480
8 Al 0.4430 0.5570 0.8520
9 Al 0.5570 0.4430 0.1480
10 Al 0.5570 0.4430 0.3520
11 Al 0.7981 0.2019 0.5617
12 Al 0.7981 0.2019 0.9383
13 Ni 0.1211 0.8789 0.2500
14 Ni 0.3929 0.6071 0.0363
15 Ni 0.3929 0.6071 0.4637
16 Ni 0.6071 0.3929 0.5363
17 Ni 0.6071 0.3929 0.9637
18 Ni 0.8789 0.1211 0.7500

Output
Magnetic moment   0.000 μB per cell
Raw total energy   -90.07 eV/cell
Symmetry   Cmcm (63)
DFT formation energy   -4.87 eV/f.u.
Volume   17.17 Å³/atom
Density   5.8 g/cm3



DFT (PBE) results for crystalline Ac2Al9Ni3 at its relaxed geometry.

Unit cell a=7.7115 b=7.7115 c=10.8161 alpha=111.14 beta=111.14 gamma=59.60
Sites, in units of the cell vectors:
1 Ac 0.0852 0.2528 0.2505
2 Ac 0.2528 0.0852 0.7505
3 Ac 0.7472 0.9148 0.2495
4 Ac 0.9148 0.7472 0.7495
5 Al 0.0282 0.8478 0.0662
6 Al 0.1522 0.9718 0.4338
7 Al 0.1995 0.3553 0.5658
8 Al 0.2190 0.5814 0.2536
9 Al 0.3220 0.4886 0.9611
10 Al 0.3553 0.1995 0.0658
11 Al 0.3781 0.6219 0.7500
12 Al 0.4186 0.7810 0.2464
13 Al 0.4886 0.3220 0.4611
14 Al 0.5114 0.6780 0.5389
15 Al 0.5814 0.2190 0.7536
16 Al 0.6219 0.3781 0.2500
17 Al 0.6447 0.8005 0.9342
18 Al 0.6780 0.5114 0.0389
19 Al 0.7810 0.4186 0.7464
20 Al 0.8005 0.6447 0.4342
21 Al 0.8478 0.0282 0.5662
22 Al 0.9718 0.1522 0.9338
23 Ni 0.0000 0.5000 0.0000
24 Ni 0.1643 0.6689 0.4988
25 Ni 0.3311 0.8357 0.0012
26 Ni 0.5000 0.0000 0.5000
27 Ni 0.6689 0.1643 0.9988
28 Ni 0.8357 0.3311 0.5012

Output
Magnetic moment   0.000 μB per cell
Raw total energy   -129.97 eV/cell
Symmetry   C2/c (15)
DFT formation energy   -5.74 eV/f.u.
Volume   18.02 Å³/atom
Density   5.7 g/cm3